No. 1
Material: Tm6IrRu2
Method: DFT, PBE
State: relaxed

Cell lengths 6.518, 7.252, 11.176 Å; angles 90.00, 123.47, 90.00 degrees
Atoms (fractional coordinates):
Tm: 0.074 0.041 0.239
Tm: 0.074 0.459 0.739
Tm: 0.219 0.670 0.071
Tm: 0.219 0.830 0.571
Tm: 0.399 0.171 0.073
Tm: 0.399 0.329 0.573
Tm: 0.601 0.671 0.427
Tm: 0.601 0.829 0.927
Tm: 0.781 0.170 0.429
Tm: 0.781 0.330 0.929
Tm: 0.926 0.541 0.261
Tm: 0.926 0.959 0.761
Ir: 0.500 0.000 0.500
Ir: 0.500 0.500 0.000
Ru: 0.311 0.133 0.777
Ru: 0.311 0.367 0.277
Ru: 0.689 0.633 0.723
Ru: 0.689 0.867 0.223

Computed properties:
**Energy**: -116.6 eV for the cell shown
**Crystal system**: monoclinic
**Symmetry**: P2_1/c

No. 2
Material: Hf5ZrZn6
Method: DFT, PBE
State: relaxed

Cell lengths 8.107, 8.107, 8.107 Å; angles 146.40, 131.95, 59.91 degrees
Atoms (fractional coordinates):
Hf: 0.000 0.000 0.000
Hf: 0.167 0.667 0.500
Hf: 0.335 0.335 0.000
Hf: 0.665 0.665 0.000
Hf: 0.833 0.333 0.500
Zr: 0.500 0.000 0.500
Zn: 0.080 0.832 0.247
Zn: 0.245 0.500 0.745
Zn: 0.415 0.168 0.247
Zn: 0.585 0.832 0.753
Zn: 0.755 0.500 0.255
Zn: 0.920 0.168 0.753

Computed properties:
**Energy**: -68.5 eV for the cell shown
**Crystal system**: orthorhombic
**Symmetry**: Immm

No. 3
Material: LiFe2As
Method: DFT, PBE
State: relaxed

Cell lengths 4.579, 4.579, 4.579 Å; angles 133.31, 133.31, 68.17 degrees
Atoms (fractional coordinates):
Li: 0.000 0.000 0.000
Fe: 0.250 0.750 0.500
Fe: 0.750 0.250 0.500
As: 0.500 0.500 0.000

Computed properties:
**Energy**: -23.7 eV for the cell shown
**Crystal system**: tetragonal
**Symmetry**: I4/mmm

No. 4
Material: GdAlSn
Method: DFT, PBE
State: relaxed

Cell lengths 4.555, 4.555, 4.052 Å; angles 90.00, 90.00, 120.00 degrees
Atoms (fractional coordinates):
Gd: 0.000 0.000 0.000
Al: 0.333 0.667 0.500
Sn: 0.667 0.333 0.500

Computed properties:
**Energy**: -23.2 eV for the cell shown
**Crystal system**: hexagonal
**Symmetry**: P-6m2

No. 5
Material: ZrCr7
Method: DFT, PBE
State: relaxed

Cell lengths 5.313, 5.313, 5.313 Å; angles 60.00, 60.00, 60.00 degrees
Atoms (fractional coordinates):
Zr: 0.000 0.000 0.000
Cr: 0.000 0.000 0.500
Cr: 0.000 0.500 0.000
Cr: 0.000 0.500 0.500
Cr: 0.500 0.000 0.000
Cr: 0.500 0.000 0.500
Cr: 0.500 0.500 0.000
Cr: 0.500 0.500 0.500

Computed properties:
**Energy**: -71.2 eV for the cell shown
**Crystal system**: cubic
**Symmetry**: Fm-3m

No. 6
Material: Sc3GaNi3
Method: DFT, PBE
State: relaxed

Cell lengths 5.024, 5.024, 12.326 Å; angles 90.00, 90.00, 132.47 degrees
Atoms (fractional coordinates):
Sc: 0.017 0.983 0.750
Sc: 0.297 0.703 0.606
Sc: 0.297 0.703 0.894
Sc: 0.703 0.297 0.106
Sc: 0.703 0.297 0.394
Sc: 0.983 0.017 0.250
Ga: 0.000 0.000 0.000
Ga: 0.000 0.000 0.500
Ni: 0.267 0.733 0.250
Ni: 0.412 0.588 0.092
Ni: 0.412 0.588 0.408
Ni: 0.588 0.412 0.592
Ni: 0.588 0.412 0.908
Ni: 0.733 0.267 0.750

Computed properties:
**Energy**: -86.5 eV for the cell shown
**Crystal system**: orthorhombic
**Symmetry**: Cmcm

No. 7
Material: RbZnSbH
Method: DFT, PBE
State: relaxed

Cell lengths 4.511, 4.511, 6.125 Å; angles 90.00, 90.00, 120.00 degrees
Atoms (fractional coordinates):
Rb: 0.000 0.000 0.000
Zn: 0.667 0.333 0.567
Sb: 0.333 0.667 0.452
H: 0.667 0.333 0.836

Computed properties:
**Energy**: -10.1 eV for the cell shown
**Crystal system**: trigonal
**Symmetry**: P3m1

No. 8
Material: PrAs2Pd8
Method: DFT, PBE
State: relaxed

Cell lengths 5.609, 5.609, 7.417 Å; angles 90.00, 90.00, 90.00 degrees
Atoms (fractional coordinates):
Pr: 0.000 0.000 0.000
As: 0.000 0.500 0.500
As: 0.500 0.000 0.500
Pd: 0.254 0.254 0.294
Pd: 0.254 0.254 0.706
Pd: 0.254 0.746 0.294
Pd: 0.254 0.746 0.706
Pd: 0.746 0.254 0.294
Pd: 0.746 0.254 0.706
Pd: 0.746 0.746 0.294
Pd: 0.746 0.746 0.706

Computed properties:
**Energy**: -57.7 eV for the cell shown
**Crystal system**: tetragonal
**Symmetry**: P4/mmm

No. 9
Material: Na2BeNbCu
Method: DFT, PBE
State: relaxed

Cell lengths 5.928, 5.928, 4.844 Å; angles 90.00, 90.00, 90.00 degrees
Atoms (fractional coordinates):
Na: 0.000 0.500 0.000
Na: 0.500 0.000 0.000
Be: 0.000 0.000 0.500
Nb: 0.500 0.500 0.000
Cu: 0.500 0.500 0.500

Computed properties:
**Energy**: -11.6 eV for the cell shown
**Crystal system**: tetragonal
**Symmetry**: P4/mmm

No. 10
Material: CdGaAu
Method: DFT, PBE
State: relaxed

Cell lengths 4.236, 4.415, 8.077 Å; angles 75.81, 74.94, 61.49 degrees
Atoms (fractional coordinates):
Cd: 0.000 0.000 0.000
Cd: 0.256 0.293 0.199
Ga: 0.499 0.499 0.507
Ga: 0.748 0.716 0.789
Au: 0.127 0.112 0.636
Au: 0.869 0.885 0.381

Computed properties:
**Energy**: -15.0 eV for the cell shown
**Crystal system**: triclinic
**Symmetry**: P1

No. 11
Material: LiMg2Ta
Method: DFT, PBE
State: relaxed

Cell lengths 2.835, 4.332, 6.300 Å; angles 90.00, 90.00, 90.00 degrees
Atoms (fractional coordinates):
Li: 0.000 0.000 0.000
Mg: 0.500 0.500 0.250
Mg: 0.500 0.500 0.750
Ta: 0.000 0.000 0.500

Computed properties:
**Excess energy over the best structure of this formula in the dataset**: 0.160 eV per atom
**Crystal system**: orthorhombic
**Symmetry**: Pmmm

No. 12
Material: PaZn
Method: DFT, PBE
State: relaxed

Cell lengths 3.518, 3.518, 3.518 Å; angles 90.00, 90.00, 90.00 degrees
Atoms (fractional coordinates):
Pa: 0.000 0.000 0.000
Zn: 0.500 0.500 0.500

Computed properties:
**Energy**: -10.4 eV for the cell shown
**Crystal system**: cubic
**Symmetry**: Pm-3m

No. 13
Material: AlSn2O
Method: DFT, PBE
State: relaxed

Cell lengths 4.740, 4.740, 4.740 Å; angles 60.00, 60.00, 60.00 degrees
Atoms (fractional coordinates):
Al: 0.000 0.000 0.000
Sn: 0.250 0.250 0.250
Sn: 0.750 0.750 0.750
O: 0.500 0.500 0.500

Computed properties:
**Raw formation energy**: 0.39 eV per formula unit
**Excess energy over the best structure of this formula in the dataset**: 0.345 eV per atom
**Crystal system**: cubic
**Symmetry**: Fm-3m

| no. | total magnetic moment (μB per cell) |
| --- | --- |
| 1 | 0.00 |
| 2 | 0.00 |
| 3 | 5.07 |
| 4 | 6.99 |
| 5 | 3.18 |
| 6 | 0.00 |
| 7 | 0.52 |
| 8 | 0.00 |
| 9 | 3.95 |
| 10 | 0.00 |
| 11 | 0.00 |
| 12 | 0.74 |
| 13 | 0.00 |